Entry 1:
This record from Alexandria describes a geometry-optimized VAgH2Ru structure. The functional is GGA-PBE.

Computed properties:
space-group type	P4/mmm (123)
spin magnetization	0.00	μB per formula unit
raw total energy	-4.809	eV/atom

Cell and atoms, written as CIF:
```
data_VAgH2Ru
_symmetry_space_group_name_H-M 'P 1'
_symmetry_Int_Tables_number 1
_cell_length_a 3.4094
_cell_length_b 5.5423
_cell_length_c 3.4094
_cell_angle_alpha 90.00
_cell_angle_beta 90.00
_cell_angle_gamma 90.00
loop_
_symmetry_equiv_pos_as_xyz
'x,y,z'
loop_
_atom_site_label
_atom_site_type_symbol
_atom_site_fract_x
_atom_site_fract_y
_atom_site_fract_z
H1 H 0.5000 0.0000 0.0000
H2 H 0.0000 0.0000 0.5000
Ag1 Ag 0.0000 0.0000 0.0000
Ru1 Ru 0.0000 0.5000 0.0000
V1 V 0.5000 0.5000 0.5000
```



Entry 2:
This record from Alexandria describes a geometry-optimized AgHRu2W structure. The functional is GGA-PBE.

Computed properties:
space-group type	P4/mmm (123)
spin magnetization	0.00	μB per formula unit
raw total energy	-7.114	eV/atom

Cell and atoms, written as CIF:
```
data_AgHRu2W
_symmetry_space_group_name_H-M 'P 1'
_symmetry_Int_Tables_number 1
_cell_length_a 4.0622
_cell_length_b 3.8121
_cell_length_c 4.0622
_cell_angle_alpha 90.00
_cell_angle_beta 90.00
_cell_angle_gamma 90.00
loop_
_symmetry_equiv_pos_as_xyz
'x,y,z'
loop_
_atom_site_label
_atom_site_type_symbol
_atom_site_fract_x
_atom_site_fract_y
_atom_site_fract_z
Ru1 Ru 0.5000 0.0000 0.0000
Ag1 Ag 0.0000 0.5000 0.0000
Ru2 Ru 0.0000 0.0000 0.5000
W1 W 0.5000 0.5000 0.5000
H1 H 0.0000 0.0000 0.0000
```



Entry 3:
This record from Alexandria describes a geometry-optimized Y2AgHRu structure. The functional is GGA-PBE.

Computed properties:
space-group type	P4/mmm (123)
spin magnetization	0.00	μB per formula unit
raw total energy	-6.072	eV/atom

Cell and atoms, written as CIF:
```
data_Y2AgHRu
_symmetry_space_group_name_H-M 'P 1'
_symmetry_Int_Tables_number 1
_cell_length_a 4.9657
_cell_length_b 4.9657
_cell_length_c 3.6566
_cell_angle_alpha 90.00
_cell_angle_beta 90.00
_cell_angle_gamma 90.00
loop_
_symmetry_equiv_pos_as_xyz
'x,y,z'
loop_
_atom_site_label
_atom_site_type_symbol
_atom_site_fract_x
_atom_site_fract_y
_atom_site_fract_z
Ru1 Ru 0.0000 0.0000 0.5000
Y1 Y 0.0000 0.5000 0.0000
Ag1 Ag 0.5000 0.5000 0.5000
Y2 Y 0.5000 0.0000 0.0000
H1 H 0.0000 0.0000 0.0000
```



Entry 4:
This record from Alexandria describes a geometry-optimized AgHS structure. The functional is GGA-PBE.

Computed properties:
space-group type	C2/m (12)
spin magnetization	0.00	μB per formula unit
energy above the lowest structure with this stoichiometry	0.0699	eV/atom

Cell and atoms, written as CIF:
```
data_AgHS
_symmetry_space_group_name_H-M 'P 1'
_symmetry_Int_Tables_number 1
_cell_length_a 4.5241
_cell_length_b 3.8149
_cell_length_c 8.9704
_cell_angle_alpha 62.24
_cell_angle_beta 104.61
_cell_angle_gamma 90.00
loop_
_symmetry_equiv_pos_as_xyz
'x,y,z'
loop_
_atom_site_label
_atom_site_type_symbol
_atom_site_fract_x
_atom_site_fract_y
_atom_site_fract_z
Ag1 Ag 0.3034 0.0007 0.6069
S1 S 0.8706 0.9368 0.7412
H1 H 0.0875 0.4691 0.1751
H2 H 0.9125 0.5309 0.8249
Ag2 Ag 0.6966 0.9993 0.3931
S2 S 0.1294 0.0632 0.2588
```